VASP calculation (PBE-GGA) on an optimized crystal structure of CsTmPbBr6.

Cell: 7.6649 7.6649 7.9128 Å, 90.00 90.00 120.00°
Last column: nearest neighbours and their distance in Å.
Sites, in units of the cell vectors:
1 Cs 0.0000 0.0000 0.0000  6 Br 3.69
2 Tm 0.6667 0.3333 0.5000  6 Br 2.79
3 Pb 0.3333 0.6667 0.5000  6 Br 3.05
4 Br 0.3876 0.0267 0.7072  1 Tm 2.79, 1 Pb 3.05
5 Br 0.3876 0.3608 0.2928  1 Tm 2.79, 1 Pb 3.05
6 Br 0.6392 0.0267 0.2928  1 Tm 2.79, 1 Pb 3.05
7 Br 0.6392 0.6124 0.7072  1 Tm 2.79, 1 Pb 3.05
8 Br 0.9733 0.3608 0.7072  1 Tm 2.79, 1 Pb 3.05
9 Br 0.9733 0.6124 0.2928  1 Tm 2.79, 1 Pb 3.05

VASP calculation (PBE-GGA) on an optimized crystal structure of Cs2TmPbBr6.

Cell: 7.8595 11.4802 9.4696 Å, 90.00 90.00 90.00°
Last column: nearest neighbours and their distance in Å.
Sites, in units of the cell vectors:
1 Cs 0.2500 0.0090 0.2018  9 Br 3.88-4.07
2 Cs 0.2500 0.4910 0.2018  9 Br 3.88-4.07
3 Cs 0.7500 0.5090 0.7982  9 Br 3.88-4.07
4 Cs 0.7500 0.9910 0.7982  9 Br 3.88-4.07
5 Tm 0.2500 0.7500 0.7762  6 Br 2.74-2.79
6 Tm 0.7500 0.2500 0.2238  6 Br 2.74-2.79
7 Pb 0.2500 0.2500 0.7131  4 Br 3.04-3.37
8 Pb 0.7500 0.7500 0.2869  4 Br 3.04-3.37
9 Br 0.0050 0.2500 0.4216  1 Tm 2.74
10 Br 0.0064 0.7500 0.9900  1 Tm 2.79
11 Br 0.2500 0.5075 0.7871  1 Tm 2.79, 1 Pb 3.04
12 Br 0.2500 0.9925 0.7871  1 Tm 2.79, 1 Pb 3.04
13 Br 0.4936 0.7500 0.9900  1 Tm 2.79
14 Br 0.4950 0.2500 0.4216  1 Tm 2.74
15 Br 0.5050 0.7500 0.5784  1 Tm 2.74
16 Br 0.5064 0.2500 0.0100  1 Tm 2.79
17 Br 0.7500 0.0075 0.2129  1 Tm 2.79, 1 Pb 3.04
18 Br 0.7500 0.4925 0.2129  1 Tm 2.79, 1 Pb 3.04
19 Br 0.9936 0.2500 0.0100  1 Tm 2.79
20 Br 0.9950 0.7500 0.5784  1 Tm 2.74

VASP calculation (PBE-GGA) on an optimized crystal structure of CsUPb2Br8.

Cell: 7.0212 7.3466 9.6074 Å, 89.84 89.79 89.07°
Last column: nearest neighbours and their distance in Å.
Sites, in units of the cell vectors:
1 Cs 0.0000 0.0000 0.0000  6 Br 3.49-3.50
2 U 0.0000 0.0000 0.5000  6 Br 2.90-2.95
3 Pb 0.4996 0.5001 0.2484  6 Br 2.99-3.30
4 Pb 0.5004 0.4999 0.7516  6 Br 2.99-3.30
5 Br 0.2427 0.3238 0.5000  1 U 2.95, 1 Pb 3.29
6 Br 0.2510 0.8425 0.7083  1 U 2.90, 1 Pb 3.07
7 Br 0.2524 0.8441 0.2911  1 U 2.90, 1 Pb 3.07
8 Br 0.2661 0.3986 0.0013  2 Pb 2.99-3.00
9 Br 0.7339 0.6014 0.9987  2 Pb 2.99-3.00
10 Br 0.7476 0.1559 0.7089  1 U 2.90, 1 Pb 3.07
11 Br 0.7490 0.1575 0.2917  1 U 2.90, 1 Pb 3.07
12 Br 0.7573 0.6762 0.5000  1 U 2.95, 1 Pb 3.29

VASP calculation (PBE-GGA) on an optimized crystal structure of CsUPbBr6.

Cell: 10.8060 10.8060 10.8060 Å, 121.86 118.86 89.40°
Last column: nearest neighbours and their distance in Å.
Sites, in units of the cell vectors:
1 Cs 0.3303 0.0803 0.2500  1 Br 3.60
2 Cs 0.6697 0.9197 0.7500  1 Br 3.60
3 U 0.0000 0.5000 0.5000  6 Br 2.89-2.91
4 U 0.5000 0.5000 0.0000  6 Br 2.89-2.91
5 Pb 0.0000 0.0000 0.5000  6 Br 3.01-3.08
6 Pb 0.0000 0.5000 0.0000  6 Br 3.01-3.08
7 Br 0.0890 0.4222 0.2615  1 U 2.89, 1 Pb 3.08
8 Br 0.0890 0.8275 0.6668  1 U 2.89, 1 Pb 3.08
9 Br 0.0958 0.8458 0.2500  2 Pb 3.01
10 Br 0.3128 0.5628 0.7500  2 U 2.91
11 Br 0.3393 0.1725 0.7615  1 U 2.89, 1 Pb 3.08
12 Br 0.3393 0.5778 0.1668  1 U 2.89, 1 Pb 3.08
13 Br 0.6607 0.4222 0.8332  1 U 2.89, 1 Pb 3.08
14 Br 0.6607 0.8275 0.2385  1 U 2.89, 1 Pb 3.08
15 Br 0.6872 0.4372 0.2500  2 U 2.91
16 Br 0.9042 0.1542 0.7500  2 Pb 3.01
17 Br 0.9110 0.1725 0.3332  1 U 2.89, 1 Pb 3.08
18 Br 0.9110 0.5778 0.7385  1 U 2.89, 1 Pb 3.08

VASP calculation (PBE-GGA) on an optimized crystal structure of CsV2PbBr.

Cell: 5.5526 5.5526 6.6931 Å, 90.00 90.00 90.00°
Last column: nearest neighbours and their distance in Å.
Sites, in units of the cell vectors:
1 Cs 0.0000 0.0000 0.0000  4 V 2.78
2 V 0.0000 0.5000 0.0000  2 Cs 2.78
3 V 0.5000 0.0000 0.0000  2 Cs 2.78
4 Pb 0.0000 0.0000 0.5000  2 Cs 3.35
5 Br 0.5000 0.5000 0.5000  4 Pb 3.93, 8 V 4.35

VASP calculation (PBE-GGA) on an optimized crystal structure of CsVPbBr6.

Cell: 7.4184 7.4184 7.8674 Å, 90.00 90.00 120.00°
Last column: nearest neighbours and their distance in Å.
Sites, in units of the cell vectors:
1 Cs 0.0000 0.0000 0.0000  6 Br 3.67
2 V 0.6667 0.3333 0.5000  6 Br 2.57
3 Pb 0.3333 0.6667 0.5000  6 Br 3.03
4 Br 0.3930 0.0473 0.6922  1 V 2.57
5 Br 0.3930 0.3457 0.3078  1 V 2.57
6 Br 0.6543 0.0473 0.3078  1 V 2.57
7 Br 0.6543 0.6070 0.6922  1 V 2.57
8 Br 0.9527 0.3457 0.6922  1 V 2.57
9 Br 0.9527 0.6070 0.3078  1 V 2.57

VASP calculation (PBE-GGA) on an optimized crystal structure of Cs2PbWBr6.

Cell: 8.1247 8.1247 8.1247 Å, 120.12 120.12 89.80°
Last column: nearest neighbours and their distance in Å.
Sites, in units of the cell vectors:
1 Cs 0.2500 0.7500 0.5000  12 Br 4.06-4.07
2 Cs 0.7500 0.2500 0.5000  12 Br 4.06-4.07
3 Pb 0.0000 0.0000 0.0000  6 Br 3.08-3.09
4 W 0.5000 0.5000 0.0000  6 Br 2.65-2.66
5 Br 0.2688 0.2688 0.0000  1 W 2.66
6 Br 0.2689 0.2689 0.5378  1 W 2.65
7 Br 0.2689 0.7311 0.0000  1 W 2.65
8 Br 0.7311 0.2689 0.0000  1 W 2.65
9 Br 0.7312 0.7312 0.0000  1 W 2.66
10 Br 0.7311 0.7311 0.4622  1 W 2.65

VASP calculation (PBE-GGA) on an optimized crystal structure of CsYPb2Br8.

Cell: 6.9895 7.2551 9.6384 Å, 85.67 83.48 87.74°
Last column: nearest neighbours and their distance in Å.
Sites, in units of the cell vectors:
1 Cs 0.0000 0.0000 0.0000  6 Br 3.48-3.54
2 Y 0.0000 0.0000 0.5000  6 Br 2.80-2.86
3 Pb 0.4825 0.4981 0.2489  5 Br 2.88-3.13
4 Pb 0.5175 0.5019 0.7511  5 Br 2.88-3.13
5 Br 0.2254 0.8221 0.6951  1 Y 2.80, 1 Pb 3.09
6 Br 0.2312 0.3174 0.4988  1 Y 2.86, 1 Pb 3.06
7 Br 0.2609 0.4002 0.0325  2 Pb 2.88-3.13
8 Br 0.2658 0.8669 0.2838  1 Y 2.83, 1 Pb 3.04
9 Br 0.7342 0.1331 0.7162  1 Y 2.83, 1 Pb 3.04
10 Br 0.7391 0.5998 0.9675  2 Pb 2.88-3.13
11 Br 0.7688 0.6826 0.5012  1 Y 2.86, 1 Pb 3.06
12 Br 0.7746 0.1779 0.3049  1 Y 2.80, 1 Pb 3.09

no.,E_form (uncorrected) (kJ per mole of atoms),DOS at the Fermi energy (states/eV per atom)
1,-151.9,0.0000
2,-144.3,0.0784
3,-111.3,0.7433
4,-119.2,0.1454
5,194.1,1.6473
6,-105.0,0.9996
7,-83.2,0.2477
8,-130.3,0.0000